No. 1
CdSiAs2O | PBE | optimized geometry

abc: 4.6699 5.1228 4.6699
angles: 90.00 90.00 90.00
With the nearest neighbours (Å) after each atom.
Sites, in units of the cell vectors:
Cd  0.0000  0.5000  0.0000  2 Si 2.56
Si  0.0000  0.0000  0.0000  4 As 2.33, 2 Cd 2.56
As  0.5000  0.0000  0.0000  2 Si 2.33
As  0.0000  0.0000  0.5000  2 Si 2.33
O  0.5000  0.5000  0.5000  4 Cd 3.30, 8 As 3.47

As for the total magnetization: 0.000 μB/atom. The value obtained for the energy relative to the elements, uncorrected is 933 meV/atom.



No. 2
CdSiAsO6 | PBE | optimized geometry

abc: 4.8620 4.8620 9.7688
angles: 90.00 90.00 120.00
With the nearest neighbours (Å) after each atom.
Sites, in units of the cell vectors:
Si  0.3333  0.6667  0.7500  6 O 1.80
Si  0.6667  0.3333  0.2500  6 O 1.80
O  0.0093  0.3779  0.6478  1 Si 1.80, 1 As 1.86
O  0.6314  0.0093  0.3522  1 Si 1.80, 1 As 1.86
O  0.6314  0.6221  0.1478  1 Si 1.80, 1 As 1.86
O  0.0093  0.6314  0.8522  1 Si 1.80, 1 As 1.86
O  0.3779  0.0093  0.1478  1 Si 1.80, 1 As 1.86
O  0.6221  0.6314  0.6478  1 Si 1.80, 1 As 1.86
O  0.3686  0.3779  0.8522  1 Si 1.80, 1 As 1.86
O  0.9907  0.3686  0.1478  1 Si 1.80, 1 As 1.86
O  0.3779  0.3686  0.3522  1 Si 1.80, 1 As 1.86
O  0.6221  0.9907  0.8522  1 Si 1.80, 1 As 1.86
O  0.9907  0.6221  0.3522  1 Si 1.80, 1 As 1.86
O  0.3686  0.9907  0.6478  1 Si 1.80, 1 As 1.86
Cd  0.0000  0.0000  0.5000  6 O 2.32
Cd  0.0000  0.0000  0.0000  6 O 2.32
As  0.6667  0.3333  0.7500  6 O 1.86
As  0.3333  0.6667  0.2500  6 O 1.86

As for the total magnetization: 0.118 μB/atom. The value obtained for the energy relative to the elements, uncorrected is -1511 meV/atom.



No. 3
SmCdAsO5 | PBE | optimized geometry

abc: 6.2096 6.2096 8.2759
angles: 108.68 108.68 95.31
With the nearest neighbours (Å) after each atom.
Sites, in units of the cell vectors:
Sm  0.0000  0.0000  0.0000  6 O 2.26-2.39
Sm  0.0000  0.0000  0.5000  6 O 2.26-2.39
As  0.3521  0.6479  0.7500  4 O 1.71-1.74
As  0.6479  0.3521  0.2500  4 O 1.71-1.74
O  0.2210  0.7258  0.9067  1 As 1.71
O  0.3003  0.3463  0.6425  1 As 1.74
O  0.7258  0.2210  0.4067  1 As 1.71
O  0.7790  0.2742  0.0933  1 As 1.71
O  0.6997  0.6537  0.3575  1 As 1.74
O  0.3463  0.3003  0.1425  1 As 1.74
O  0.6537  0.6997  0.8575  1 As 1.74
O  0.2742  0.7790  0.5933  1 As 1.71
O  0.9018  0.0982  0.7500  1 Cd 2.05, 2 Sm 2.26
O  0.0982  0.9018  0.2500  1 Cd 2.05, 2 Sm 2.26
Cd  0.6786  0.3214  0.7500  3 O 2.05-2.27
Cd  0.3214  0.6786  0.2500  3 O 2.05-2.27

As for the total magnetization: 0.000 μB/atom. The value obtained for the energy relative to the elements, uncorrected is -1925 meV/atom.